Record 1
{"formula": "TaCuTc2", "functional": "GGA-PBEsol", "state": "relaxed", "e_above_lowest_polymorph_mev_per_atom": 68, "dos_ef_per_ev_cell": 2.79, "formation_enthalpy_0k_ev_per_atom": 0.11, "space_group": "P2/m (10)", "total_energy_ev_per_atom": -9.746, "magmom_total_mub_per_fu": 0.000, "lattice_angstrom": [[-1.2310, -1.7748, 1.4956], [3.2194, 0.2071, 2.8956], [-2.0262, 4.2792, 1.9466]], "species": ["Tc", "Tc", "Cu", "Ta"], "fractional_positions": [[0.7642, 0.0000, 0.7612], [0.2358, 0.0000, 0.2388], [0.5000, 0.5000, 0.0000], [0.0000, 0.5000, 0.5000]]}

---

Record 2
{"formula": "TaCuTc2", "functional": "GGA-PBEsol", "state": "relaxed", "e_above_lowest_polymorph_mev_per_atom": 12, "dos_ef_per_ev_cell": 3.26, "formation_enthalpy_0k_ev_per_atom": 0.05, "space_group": "Pmm2 (25)", "total_energy_ev_per_atom": -9.802, "magmom_total_mub_per_fu": 0.000, "lattice_angstrom": [[-1.2920, -2.2864, -1.0031], [3.3565, -1.4385, -1.0442], [0.4756, -2.3707, 4.7945]], "species": ["Tc", "Tc", "Ta", "Cu"], "fractional_positions": [[0.0002, 0.0000, 0.0186], [0.4999, 0.5000, 0.2380], [0.5000, 0.5000, 0.7457], [0.9999, 0.0000, 0.4977]]}

---

Record 3
{"formula": "TaCuTc2", "functional": "GGA-PBEsol", "state": "relaxed", "e_above_lowest_polymorph_mev_per_atom": 0, "dos_ef_per_ev_cell": 3.15, "formation_enthalpy_0k_ev_per_atom": 0.04, "space_group": "I-4m2 (119)", "total_energy_ev_per_atom": -9.814, "magmom_total_mub_per_fu": 0.000, "lattice_angstrom": [[-2.0653, 3.1261, 0.8720], [-3.1328, -1.6505, -1.5031], [1.7530, -2.2525, 3.7419]], "species": ["Ta", "Tc", "Tc", "Cu"], "fractional_positions": [[0.2500, 0.7500, 0.5000], [0.0000, 0.0000, 0.0000], [0.7500, 0.2500, 0.5000], [0.5000, 0.5000, 0.0000]]}